Entry 1:
Below is crystalline Mn2TlSi at its relaxed geometry, with properties calculated at the PBE level.

Cell: 8.7285 8.7285 8.7285 Å, 19.91 19.91 19.91°
Last column: nearest neighbours and their distance in Å.
Positions (direct):
Mn (0.0000, 0.0000, 0.0000)  3 Mn 2.51
Mn (0.2628, 0.2628, 0.2628)  3 Si 2.47, 3 Mn 2.51
Tl (0.7612, 0.7612, 0.7612)  3 Mn 2.99, 6 Tl 3.02, 3 Si 3.10
Si (0.5279, 0.5279, 0.5279)  3 Mn 2.47

Theoretical density (Mg/m³): 8.43
Formation energy from raw total energies (eV/atom): 0.457

Entry 2:
Below is crystalline Pr3Si6PdPt2 at its relaxed geometry, with properties calculated at the PBE level.

Cell: 5.8773 5.8773 8.1111 Å, 90.00 90.00 120.00°
Last column: nearest neighbours and their distance in Å.
Positions (direct):
Pr (0.0000, 0.0000, 0.0000)  6 Si 3.12, 6 Pt 3.41
Pr (0.3333, 0.6667, 0.6467)  9 Si 2.99-3.16, 1 Pt 3.25
Pr (0.6667, 0.3333, 0.3533)  9 Si 2.99-3.16, 1 Pt 3.25
Si (0.1943, 0.3886, 0.2981)  2 Si 2.45, 1 Pt 2.48, 1 Pd 2.57
Si (0.1943, 0.8057, 0.2981)  2 Si 2.45, 1 Pt 2.48, 1 Pd 2.57
Si (0.3886, 0.1943, 0.7019)  2 Si 2.45, 1 Pt 2.48, 1 Pd 2.57
Si (0.6114, 0.8057, 0.2981)  2 Si 2.45, 1 Pt 2.48, 1 Pd 2.57
Si (0.8057, 0.1943, 0.7019)  2 Si 2.45, 1 Pt 2.48, 1 Pd 2.57
Si (0.8057, 0.6114, 0.7019)  2 Si 2.45, 1 Pt 2.48, 1 Pd 2.57
Pd (0.0000, 0.0000, 0.5000)  6 Si 2.57
Pt (0.3333, 0.6667, 0.0474)  3 Si 2.48
Pt (0.6667, 0.3333, 0.9526)  3 Si 2.48

Theoretical density (Mg/m³): 7.44
Formation energy from raw total energies (eV/atom): -0.488

Entry 3:
Below is crystalline MgGaSi3 at its relaxed geometry, with properties calculated at the PBE level.

Cell: 4.8065 4.8065 4.8065 Å, 90.00 90.00 90.00°
Last column: nearest neighbours and their distance in Å.
Positions (direct):
Mg (0.0000, 0.0000, 0.0000)  12 Si 3.40
Ga (0.5000, 0.5000, 0.5000)  6 Si 2.40
Si (0.0000, 0.5000, 0.5000)  2 Ga 2.40
Si (0.5000, 0.0000, 0.5000)  2 Ga 2.40
Si (0.5000, 0.5000, 0.0000)  2 Ga 2.40

Theoretical density (Mg/m³): 2.67
Formation energy from raw total energies (eV/atom): 0.844
Polymorph energy (0 for the lowest one) (meV/atom): 0

Entry 4:
Below is crystalline BaFeRe at its relaxed geometry, with properties calculated at the PBE level.

Cell: 4.8622 4.8622 4.8622 Å, 60.00 60.00 60.00°
Last column: nearest neighbours and their distance in Å.
Positions (direct):
Ba (0.0000, 0.0000, 0.0000)  4 Fe 2.98, 4 Re 2.98
Fe (0.2500, 0.2500, 0.2500)  4 Ba 2.98
Re (0.7500, 0.7500, 0.7500)  4 Ba 2.98

ΔE_f (meV per atom): 2601
Theoretical density (Mg/m³): 7.75
Polymorph energy (0 for the lowest one) (meV/atom): 1895

| no. | DFT total energy (eV/atom) |
| --- | --- |
| 1 | -6.075 |
| 2 | -5.834 |
| 3 | -3.334 |
| 4 | -5.011 |